Entry 1:
# Na3AgN | the Alexandria database | SCAN | single point on PBEsol structure
# ΔE_f (raw): 4.85 eV/f.u.
# N(E_F): 2.05 states/eV/cell
data_Na3AgN
_cell_length_a 5.436
_cell_length_b 5.436
_cell_length_c 5.436
_cell_angle_alpha 90.00
_cell_angle_beta 90.00
_cell_angle_gamma 90.00
_space_group_name_H-M_alt 'P m -3 m'
_space_group_IT_number 221
_space_group_name_Hall '-P 4 2 3'
loop_
_atom_site_label
_atom_site_type_symbol
_atom_site_fract_x
_atom_site_fract_y
_atom_site_fract_z
Na1 Na 0.000 0.000 0.500
Ag1 Ag 0.000 0.000 0.000
N1 N 0.500 0.500 0.500

Entry 2:
# NaAgSeN2 | the Alexandria database | SCAN | single point on PBEsol structure
# ΔE_f (raw): 8.44 eV/f.u.
# N(E_F): 1.61 states/eV/cell
data_NaAgSeN2
_cell_length_a 4.242
_cell_length_b 4.242
_cell_length_c 5.512
_cell_angle_alpha 90.00
_cell_angle_beta 90.00
_cell_angle_gamma 90.00
_space_group_name_H-M_alt 'P 4/m m m'
_space_group_IT_number 123
_space_group_name_Hall '-P 4 2'
loop_
_atom_site_label
_atom_site_type_symbol
_atom_site_fract_x
_atom_site_fract_y
_atom_site_fract_z
Na1 Na 0.000 0.000 0.000
Ag1 Ag 0.500 0.500 0.500
Se1 Se 0.000 0.000 0.500
N1 N 0.000 0.500 0.000

> What is the N(E_F) in the second record?

1.61 states/eV/cell